# Al2CdAs

An optimized crystal structure of Al2CdAs (GGA-PBE, Alexandria via LeMat-Bulk).

Lattice parameters (Å, degrees): 4.375 4.375 8.126 90.00 90.00 90.00
Space group I4/mmm (No. 139)
One atom of each set of equivalent atoms:
Al: 0.000 0.500 0.250 x4
Cd: 0.000 0.000 0.000 x2
As: 0.000 0.000 0.500 x2

For the energy above the most stable polymorph in this dataset, the calculation gives 157 meV/atom. Its energy of formation is 0.2089 eV/atom. The electronic total energy is -3.05 eV per atom. The calculation puts the volume at 155.56 Å³/cell.